Fe4Pd2Pt5, relaxed, DFT PBE-GGA; energy of formation from the pure elements = 22 meV per atom; SG = C2/m (12); magnetization = 14.789 μB/f.u.; DOS(E_F) = 0.845 states/eV/atom
1.0
8.356 -2.085 0.000
8.356 2.085 0.000
-0.991 0.000 4.869
Fe Pd Pt
4 2 5
direct
0.034 0.034 0.305
0.283 0.283 0.115
0.717 0.717 0.885
0.966 0.966 0.695
0.417 0.417 0.438
0.583 0.583 0.562
0.124 0.124 0.960
0.198 0.198 0.515
0.500 0.500 0.000
0.802 0.802 0.485
0.876 0.876 0.040